# Cd2ReAg

Cd2ReAg after structural relaxation (PBE, Alexandria via LeMat-Bulk).

Computed properties:
The calculation puts the energy relative to the lowest polymorph listed for this composition at 0.0257 eV/atom. The space-group type is Cmmm, No. 65. The formation energy from the elements is 0.376 eV per atom.

a b c (Å): 2.813 2.813 9.616
angles (deg): 90.00 90.00 109.40
Fractional positions:
Cd 0.000 0.000 0.248
Cd 0.000 0.000 0.752
Re 0.500 0.500 0.000
Ag 0.500 0.500 0.500